# La3CeZn2

A relaxed structure of La3CeZn2 (GGA-PBE, Alexandria).

a b c (Å): 5.504 16.798 3.623
angles (deg): 90.00 90.00 90.00
Space group Cmmm (No. 65)
One atom of each set of equivalent atoms:
La 0.000 0.000 0.000 x2
La 0.000 0.323 0.000 x4
Ce 0.000 0.500 0.500 x2
Zn 0.000 0.157 0.500 x4

Values from the calculation:
E_form ... -0.76 eV/f.u.
Magnetic moment ... 2.0 μB/cell
Distance to the lowest polymorph of the same formula ... 0.30 eV per formula unit